(1)
YLu2Sc: optimized geometry, PBE.

Output
SG: P4/mmm, No. 123
Spin magnetization in μB/cell: 0.00

abc: 3.452 3.452 9.670
angles: 90.00 90.00 90.00
Fractional coordinates of all 4 atoms:
Y  0.500  0.500  0.500
Sc  0.500  0.500  0.000
Lu  0.000  0.000  0.762
Lu  0.000  0.000  0.238

(2)
YLu2Sc: optimized geometry, PBE.

Output
SG: Fm-3m, No. 225
Spin magnetization in μB/cell: 0.92

abc: 5.491 5.491 5.491
angles: 60.00 60.00 60.00
Fractional coordinates of all 4 atoms:
Y  0.500  0.500  0.500
Sc  0.000  0.000  0.000
Lu  0.250  0.250  0.250
Lu  0.750  0.750  0.750

Energies relative to the minimum, meV per atom: (1) 0; (2) 89

(1)
Y2LuSc: optimized geometry, PBE.

Output
SG: P4/mmm, No. 123
Spin magnetization in μB/cell: 0.00

abc: 4.869 4.925 4.925
angles: 90.00 90.00 90.00
Fractional coordinates of all 4 atoms:
Y  0.000  0.000  0.500
Y  0.000  0.500  0.000
Sc  0.500  0.500  0.500
Lu  0.500  0.000  0.000

(2)
Y2LuSc: optimized geometry, PBE.

Output
SG: Fm-3m, No. 225
Spin magnetization in μB/cell: 0.00

abc: 5.524 5.524 5.524
angles: 60.00 60.00 60.00
Fractional coordinates of all 4 atoms:
Y  0.250  0.250  0.250
Y  0.750  0.750  0.750
Sc  0.500  0.500  0.500
Lu  0.000  0.000  0.000

(3)
Y2LuSc: optimized geometry, PBE.

Output
SG: R-3m, No. 166
Spin magnetization in μB/cell: 0.00

abc: 3.480 3.480 11.431
angles: 81.24 81.24 60.00
Fractional coordinates of all 4 atoms:
Y  0.748  0.748  0.757
Y  0.252  0.252  0.243
Sc  0.000  0.000  0.000
Lu  0.500  0.500  0.500

Energies relative to the minimum, meV per atom: (1) 0; (2) 62; (3) 5

(1)
LuZrSc: optimized geometry, PBE.

Output
SG: P-6m2, No. 187
Spin magnetization in μB/cell: 0.01

abc: 3.231 5.173 5.173
angles: 120.00 90.00 90.00
Fractional coordinates of all 3 atoms:
Sc  0.667  0.667  0.333
Lu  0.167  0.000  0.000
Zr  0.166  0.333  0.667

(2)
LuZrSc: optimized geometry, PBE.

Output
SG: I4mm, No. 107
Spin magnetization in μB/cell: 0.00

abc: 3.298 3.298 7.401
angles: 102.87 102.87 90.00
Fractional coordinates of all 3 atoms:
Sc  0.323  0.323  0.647
Lu  0.006  0.006  0.013
Zr  0.670  0.670  0.341

Energies relative to the minimum, meV per atom: (1) 62; (2) 0

(1)
Lu2TlSe: optimized geometry, PBE.

Output
SG: P4/mmm, No. 123
Spin magnetization in μB/cell: 0.01

abc: 3.467 3.467 7.912
angles: 90.00 90.00 90.00
Fractional coordinates of all 4 atoms:
Tl  0.500  0.500  0.500
Lu  0.000  0.000  0.775
Lu  0.000  0.000  0.225
Se  0.500  0.500  0.000

(2)
Lu2TlSe: optimized geometry, PBE.

Output
SG: R-3m, No. 166
Spin magnetization in μB/cell: 0.00

abc: 3.808 3.808 8.304
angles: 76.74 76.74 60.00
Fractional coordinates of all 4 atoms:
Tl  0.500  0.500  0.500
Lu  0.261  0.261  0.217
Lu  0.739  0.739  0.783
Se  0.000  0.000  0.000

Energies relative to the minimum, meV per atom: (1) 193; (2) 0

(1)
Tm2LuSe: optimized geometry, PBE.

Output
SG: R-3m, No. 166
Spin magnetization in μB/cell: 0.00

abc: 3.628 3.628 10.461
angles: 80.01 80.01 60.00
Fractional coordinates of all 4 atoms:
Lu  0.000  0.000  0.000
Tm  0.107  0.107  0.678
Tm  0.893  0.893  0.322
Se  0.500  0.500  0.500

(2)
Tm2LuSe: optimized geometry, PBE.

Output
SG: P4/mmm, No. 123
Spin magnetization in μB/cell: 0.00

abc: 3.534 3.534 8.429
angles: 90.00 90.00 90.00
Fractional coordinates of all 4 atoms:
Lu  0.500  0.500  0.500
Tm  0.000  0.000  0.789
Tm  0.000  0.000  0.211
Se  0.500  0.500  0.000

Energies relative to the minimum, meV per atom: (1) 182; (2) 0

(1)
Lu3Si: optimized geometry, PBE.

Output
SG: P-4m2, No. 115
Spin magnetization in μB/cell: 0.22

abc: 3.886 3.885 7.287
angles: 90.00 90.00 90.00
Fractional coordinates of all 4 atoms:
Si  0.000  0.000  0.083
Lu  0.000  0.500  0.436
Lu  0.500  0.500  0.084
Lu  0.500  0.000  0.730

(2)
Lu3Si: optimized geometry, PBE.

Output
SG: Pm-3m, No. 221
Spin magnetization in μB/cell: 0.08

abc: 4.534 4.534 4.534
angles: 90.00 90.00 90.00
Fractional coordinates of all 4 atoms:
Lu  0.000  0.500  0.500
Lu  0.500  0.000  0.500
Lu  0.500  0.500  0.000
Si  0.000  0.000  0.000

(3)
Lu3Si: optimized geometry, PBE.

Output
SG: Immm, No. 71
Spin magnetization in μB/cell: 0.00

abc: 3.761 4.913 6.155
angles: 113.52 107.79 90.00
Fractional coordinates of all 4 atoms:
Si  0.000  0.917  0.000
Lu  0.292  0.708  0.583
Lu  0.500  0.417  0.000
Lu  0.708  0.125  0.417

Energies relative to the minimum, meV per atom: (1) 253; (2) 76; (3) 0

(1)
SmLuSi: optimized geometry, PBE.

Output
SG: P3m1, No. 156
Spin magnetization in μB/cell: 0.00

abc: 4.177 4.650 4.650
angles: 120.00 90.00 90.00
Fractional coordinates of all 3 atoms:
Si  0.082  0.000  0.000
Lu  0.220  0.667  0.333
Sm  0.698  0.333  0.667

(2)
SmLuSi: optimized geometry, PBE.

Output
SG: I4mm, No. 107
Spin magnetization in μB/cell: 0.01

abc: 3.811 3.811 5.634
angles: 109.77 109.77 90.00
Fractional coordinates of all 3 atoms:
Si  0.270  0.270  0.541
Lu  0.643  0.643  0.285
Sm  0.937  0.937  0.874

(3)
SmLuSi: optimized geometry, PBE.

Output
SG: F-43m, No. 216
Spin magnetization in μB/cell: 0.00

abc: 4.844 4.844 4.844
angles: 60.00 60.00 60.00
Fractional coordinates of all 3 atoms:
Si  0.250  0.250  0.250
Lu  0.000  0.000  0.000
Sm  0.500  0.500  0.500

Energies relative to the minimum, meV per atom: (1) 116; (2) 161; (3) 0

(1)
Sm3Lu: optimized geometry, PBE.

Output
SG: Pmm2, No. 25
Spin magnetization in μB/cell: 0.00

abc: 3.650 5.740 6.300
angles: 90.00 90.00 90.00
Fractional coordinates of all 4 atoms:
Lu  0.000  0.000  0.001
Sm  0.000  0.500  0.333
Sm  0.500  0.000  0.498
Sm  0.500  0.500  0.834

(2)
Sm3Lu: optimized geometry, PBE.

Output
SG: P6_3/mmc, No. 194
Spin magnetization in μB/cell: 0.00

abc: 7.282 7.282 5.742
angles: 90.00 90.00 120.00
Fractional coordinates of all 8 atoms:
Sm  0.168  0.336  0.250
Sm  0.664  0.832  0.250
Sm  0.168  0.832  0.250
Sm  0.832  0.664  0.750
Sm  0.336  0.168  0.750
Sm  0.832  0.168  0.750
Lu  0.333  0.667  0.750
Lu  0.667  0.333  0.250

Energies relative to the minimum, meV per atom: (1) 11; (2) 0